[1]
A plane-wave DFT calculation with GGA-PBE was carried out for a geometry-optimized Eu2HoH4 structure.

Cell: 4.142 4.142 7.286 Å, 73.49 73.49 90.00°
Site moments in Bohr magnetons follow the coordinates.
Fractional coordinates of all 7 atoms:
H 0.000 0.500 0.000  -0.01
H 0.500 0.000 0.000  -0.01
H 0.835 0.835 0.330  -0.02
H 0.165 0.165 0.670  -0.02
Eu 0.657 0.657 0.686  7.01
Eu 0.343 0.343 0.314  7.01
Ho 0.000 0.000 0.000  0.18

Computed properties:
- E: -0.214 Ha/atom



[2]
A plane-wave DFT calculation with GGA-PBE was carried out for a geometry-optimized EuHo3H structure.

Cell: 5.021 5.021 5.021 Å, 90.00 90.00 90.00°
Site moments in Bohr magnetons follow the coordinates.
Fractional coordinates of all 5 atoms:
Eu 0.500 0.500 0.500  6.81
H 0.000 0.000 0.000  0.00
Ho 0.000 0.000 0.500  -0.03
Ho 0.000 0.500 0.000  -0.03
Ho 0.500 0.000 0.000  -0.03

Computed properties:
- E: -0.205 Ha/atom



[3]
A plane-wave DFT calculation with GGA-PBE was carried out for a geometry-optimized Eu2HI structure.

Cell: 3.999 3.999 8.105 Å, 75.72 75.72 60.00°
Site moments in Bohr magnetons follow the coordinates.
Fractional coordinates of all 4 atoms:
Eu 0.727 0.727 0.820  7.14
Eu 0.273 0.273 0.180  7.14
H 0.000 0.000 0.000  -0.03
I 0.500 0.500 0.500  -0.01

Computed properties:
- E: -0.260 Ha/atom



[4]
A plane-wave DFT calculation with GGA-PBE was carried out for a geometry-optimized Eu2InH structure.

Cell: 3.807 3.807 8.404 Å, 76.91 76.91 60.00°
Site moments in Bohr magnetons follow the coordinates.
Fractional coordinates of all 4 atoms:
In 0.500 0.500 0.500  -0.01
H 0.000 0.000 0.000  -0.03
Eu 0.728 0.728 0.817  7.01
Eu 0.272 0.272 0.183  7.01

Computed properties:
- E: -0.256 Ha/atom



[5]
A plane-wave DFT calculation with GGA-PBE was carried out for a geometry-optimized EuInH2 structure.

Cell: 3.918 3.918 5.752 Å, 70.09 70.09 60.00°
Site moments in Bohr magnetons follow the coordinates.
Fractional coordinates of all 4 atoms:
H 0.860 0.860 0.419  -0.02
H 0.140 0.140 0.581  -0.02
In 0.000 0.000 0.000  -0.01
Eu 0.500 0.500 0.500  6.71

Computed properties:
- E: -0.190 Ha/atom



[6]
A plane-wave DFT calculation with GGA-PBE was carried out for a geometry-optimized Eu2InH structure.

Cell: 3.389 3.389 8.160 Å, 90.00 90.00 90.00°
Site moments in Bohr magnetons follow the coordinates.
Fractional coordinates of all 4 atoms:
Eu 0.000 0.000 0.205  6.99
Eu 0.000 0.000 0.795  6.99
In 0.500 0.500 0.500  -0.03
H 0.500 0.500 0.000  -0.03

Computed properties:
- E: -0.253 Ha/atom



[7]
A plane-wave DFT calculation with GGA-PBE was carried out for a geometry-optimized EuH3Ir structure.

Cell: 3.753 3.753 3.753 Å, 90.00 90.00 90.00°
Site moments in Bohr magnetons follow the coordinates.
Fractional coordinates of all 5 atoms:
H 0.000 0.000 0.500  -0.01
H 0.000 0.500 0.000  -0.01
H 0.500 0.000 0.000  -0.01
Ir 0.000 0.000 0.000  -0.23
Eu 0.500 0.500 0.500  6.73

Computed properties:
- E: -0.231 Ha/atom



[8]
A plane-wave DFT calculation with GGA-PBE was carried out for a geometry-optimized Eu2H6Ir structure.

Cell: 5.293 5.293 5.293 Å, 60.00 60.00 60.00°
Site moments in Bohr magnetons follow the coordinates.
Fractional coordinates of all 9 atoms:
Ir 0.000 0.000 0.000  0.03
H 0.230 0.230 0.770  -0.01
H 0.770 0.230 0.230  -0.01
H 0.770 0.770 0.230  -0.01
H 0.230 0.770 0.770  -0.01
H 0.770 0.230 0.770  -0.01
H 0.230 0.770 0.230  -0.01
Eu 0.750 0.750 0.750  6.88
Eu 0.250 0.250 0.250  6.88

Computed properties:
- E: -0.224 Ha/atom



[9]
A plane-wave DFT calculation with GGA-PBE was carried out for a geometry-optimized KEu2H structure.

Cell: 3.882 3.882 11.010 Å, 79.85 79.85 60.00°
Site moments in Bohr magnetons follow the coordinates.
Fractional coordinates of all 4 atoms:
K 0.000 0.000 0.000  0.00
Eu 0.877 0.877 0.369  7.08
Eu 0.123 0.123 0.631  7.08
H 0.500 0.500 0.500  -0.03

Computed properties:
- E: -0.232 Ha/atom



[10]
A plane-wave DFT calculation with GGA-PBE was carried out for a geometry-optimized KEuH structure.

Cell: 4.083 4.083 13.103 Å, 90.00 90.00 90.00°
Site moments in Bohr magnetons follow the coordinates.
Fractional coordinates of all 6 atoms:
K 0.500 0.000 0.644  0.01
K 0.000 0.500 0.356  0.01
Eu 0.000 0.500 0.907  6.99
Eu 0.500 0.000 0.093  6.99
H 0.000 0.000 0.000  -0.02
H 0.500 0.500 0.000  -0.02

Computed properties:
- E: -0.189 Ha/atom



[11]
A plane-wave DFT calculation with GGA-PBE was carried out for a geometry-optimized KEuH structure.

Cell: 3.876 3.876 7.049 Å, 90.00 90.00 120.00°
Site moments in Bohr magnetons follow the coordinates.
Fractional coordinates of all 3 atoms:
Eu 0.333 0.667 0.551  6.98
K 0.000 0.000 0.078  0.00
H 0.667 0.333 0.370  -0.01

Computed properties:
- E: -0.183 Ha/atom



[12]
A plane-wave DFT calculation with GGA-PBE was carried out for a geometry-optimized K3EuSi3H2O10 structure.

Cell: 6.037 13.390 13.838 Å, 90.00 90.00 90.00°
Site moments in Bohr magnetons follow the coordinates.
Fractional coordinates of all 76 atoms:
Si 0.910 0.404 0.602  0.00
Si 0.910 0.404 0.898  0.00
Si 0.410 0.096 0.102  0.00
Si 0.410 0.096 0.398  0.00
Si 0.590 0.904 0.602  0.00
Si 0.590 0.904 0.898  0.00
Si 0.571 0.249 0.250  0.00
Si 0.071 0.251 0.750  0.00
Si 0.929 0.749 0.250  0.00
Si 0.090 0.596 0.102  0.00
Si 0.090 0.596 0.398  0.00
Si 0.429 0.751 0.750  0.00
O 0.676 0.458 0.625  -0.03
O 0.875 0.528 0.129  -0.03
O 0.875 0.528 0.371  -0.03
O 0.085 0.630 0.515  -0.01
O 0.573 0.791 0.654  0.00
O 0.176 0.042 0.375  -0.03
O 0.585 0.870 0.015  -0.01
O 0.679 0.705 0.250  -0.07
O 0.321 0.295 0.750  -0.07
O 0.324 0.542 0.375  -0.03
O 0.085 0.630 0.985  -0.01
O 0.676 0.458 0.875  -0.03
O 0.824 0.958 0.625  -0.03
O 0.073 0.709 0.154  0.00
O 0.375 0.972 0.629  -0.03
O 0.941 0.869 0.250  -0.04
O 0.915 0.370 0.015  -0.01
O 0.625 0.028 0.371  -0.03
O 0.375 0.972 0.871  -0.03
O 0.179 0.795 0.750  -0.07
O 0.324 0.542 0.125  -0.03
O 0.427 0.209 0.346  0.00
O 0.625 0.028 0.129  -0.03
O 0.573 0.791 0.846  0.00
O 0.441 0.631 0.750  -0.04
O 0.559 0.369 0.250  -0.04
O 0.824 0.958 0.875  -0.03
O 0.821 0.205 0.250  -0.07
O 0.176 0.042 0.125  -0.03
O 0.125 0.472 0.871  -0.03
O 0.915 0.370 0.485  -0.01
O 0.585 0.870 0.485  -0.01
O 0.125 0.472 0.629  -0.03
O 0.073 0.709 0.346  0.00
O 0.927 0.291 0.846  0.00
O 0.927 0.291 0.654  0.00
O 0.427 0.209 0.154  0.00
O 0.415 0.130 0.515  -0.01
O 0.415 0.130 0.985  -0.01
O 0.059 0.131 0.750  -0.04
Eu 0.414 0.460 0.750  6.21
Eu 0.086 0.960 0.750  6.21
Eu 0.586 0.540 0.250  6.21
Eu 0.914 0.040 0.250  6.21
K 0.071 0.370 0.250  0.00
K 0.929 0.630 0.750  0.00
K 0.913 0.138 0.517  0.00
K 0.571 0.130 0.750  0.00
K 0.413 0.362 0.483  0.00
K 0.587 0.638 0.517  0.00
K 0.413 0.362 0.017  0.00
K 0.429 0.870 0.250  0.00
K 0.913 0.138 0.983  0.00
K 0.587 0.638 0.983  0.00
K 0.087 0.862 0.017  0.00
K 0.087 0.862 0.483  0.00
H 0.392 0.071 0.560  0.00
H 0.608 0.929 0.060  0.00
H 0.108 0.571 0.560  0.00
H 0.892 0.429 0.060  0.00
H 0.608 0.929 0.440  0.00
H 0.892 0.429 0.440  0.00
H 0.108 0.571 0.940  0.00
H 0.392 0.071 0.940  0.00

Computed properties:
- E: -0.254 Ha/atom



Question: Which value of E does entry 4 give?
Answer: -0.256 Ha/atom



Question: Which of these has the highest E?
Answer: number 11